A plane-wave DFT calculation with PBE was carried out for MnSbW2 after structural relaxation.

Cell: 3.390 3.390 5.834 Å, 90.00 90.00 90.00°
Each line ends with the local moment (μB).
Sites, in units of the cell vectors:
Mn1 0.000 0.000 0.488  3.10
Sb1 0.500 0.500 0.739  -0.01
W1 0.000 0.000 0.019  0.21
W2 0.500 0.500 0.254  -0.04

Calculated total energy, eV for the cell shown: -37.75
Density of states at the Fermi level, states/eV/cell: 2.81
Size of the total moment, μB/cell: 3.42
Calculated density, Mg/m³: 13.48
Raw formation energy, eV/atom: 0.36